1.
TbErPd6, relaxed, DFT PBE; ΔH_f (0 K) = -0.8791 eV/atom; spin magnetization = 0.0000 μB/atom; SG = P4/mmm, No. 123; volume = 140 Å³/cell
1.0
4.120 0.000 0.000
0.000 4.120 0.000
0.000 0.000 8.236
Tb Pd Er
1 6 1
Cartesian
0.000 0.000 0.000
0.000 2.060 2.078
2.060 2.060 4.118
0.000 2.060 6.157
2.060 2.060 0.000
2.060 0.000 6.157
2.060 0.000 2.078
0.000 0.000 4.118

***

2.
TbEr6Pd3, relaxed, DFT PBE; ΔH_f (0 K) = -0.5195 eV/atom; spin magnetization = 0.0000 μB/atom; SG = Cmc2_1, No. 36; volume = 530 Å³/cell
1.0
-6.754 -0.814 -2.335
2.829 -0.066 -8.160
0.465 -8.473 1.609
Pd Er Tb
6 12 2
Cartesian
-1.075 -5.226 -3.397
-4.025 -8.557 -6.524
-4.086 -4.332 -6.077
-6.064 -3.271 -2.469
-2.200 -1.129 -3.317
-0.160 -6.415 -7.372
-4.342 -0.996 -5.282
-0.549 -8.324 0.906
0.050 -2.640 -2.949
2.155 -2.012 -5.962
-2.500 -6.965 -1.847
-1.719 -0.885 -9.379
-0.077 -8.472 -3.935
-2.404 -6.579 -5.554
-3.512 -3.706 -3.350
1.158 -5.513 -5.153
-2.546 -5.651 -8.853
-1.873 -3.817 -0.364
-1.569 -3.164 -6.332
0.939 -5.847 -1.575

***

3.
Tb3ErPd4, relaxed, DFT PBE; ΔH_f (0 K) = -0.8831 eV/atom; spin magnetization = 0.0000 μB/atom; SG = Pmmm, No. 47; volume = 173 Å³/cell
1.0
3.437 0.000 0.000
0.000 5.016 0.000
0.000 0.000 10.036
Tb Pd Er
3 4 1
Cartesian
1.719 0.000 7.538
1.719 0.000 2.499
1.719 2.508 5.018
0.000 2.508 7.572
0.000 0.000 5.018
0.000 0.000 0.000
0.000 2.508 2.465
1.719 2.508 0.000

***

4.
Tb4ErPd15, relaxed, DFT PBE; ΔH_f (0 K) = -0.8759 eV/atom; spin magnetization = 0.0000 μB/atom; SG = P4/mmm, No. 123; volume = 352 Å³/cell
1.0
-0.191 4.053 -0.698
-1.951 -0.704 -3.556
-18.240 0.835 9.839
Tb Pd Er
4 15 1
Cartesian
-7.290 0.334 3.932
-3.628 0.166 1.957
-10.950 0.501 5.906
-14.612 0.669 7.882
-9.215 2.444 4.570
-16.537 2.779 8.520
-12.020 2.176 3.779
-2.773 -0.270 -0.808
-5.555 2.276 2.596
-12.875 2.612 6.545
-1.893 2.109 0.621
-6.435 -0.102 1.167
-1.071 1.674 -2.127
-15.680 2.343 5.753
-17.417 0.401 7.091
-8.361 2.008 1.805
-4.701 1.841 -0.169
-10.095 0.066 3.141
-13.755 0.233 5.115
0.000 0.000 0.000

***

5.
TbEr6Pd2, relaxed, DFT PBE; ΔH_f (0 K) = -0.3815 eV/atom; spin magnetization = 0.0000 μB/atom; SG = C2/m, No. 12; volume = 242 Å³/cell
1.0
3.514 0.000 0.993
1.475 7.910 1.495
-0.529 0.098 8.584
Er Tb Pd
6 1 2
Cartesian
4.590 6.954 3.898
3.043 5.498 9.372
-0.131 1.054 7.174
1.417 2.511 1.700
2.013 6.647 6.303
2.447 1.361 4.769
0.473 4.004 5.039
1.638 3.411 7.630
2.822 4.598 3.442

***

6.
TbErPd14, relaxed, DFT PBE; ΔH_f (0 K) = -0.4189 eV/atom; spin magnetization = 0.0000 μB/atom; SG = P4/mmm, No. 123; volume = 264 Å³/cell
1.0
5.745 -0.012 0.000
0.012 5.745 0.000
0.000 0.000 7.985
Er Pd Tb
1 14 1
Cartesian
2.159 2.150 3.993
3.588 0.715 1.933
3.594 3.579 6.052
5.031 2.144 0.000
0.724 0.721 1.933
0.730 3.585 6.052
2.165 5.022 0.000
3.588 0.715 6.052
0.724 0.721 6.052
3.594 3.579 1.933
5.031 2.144 3.993
5.038 5.016 0.000
2.165 5.022 3.993
2.159 2.150 0.000
0.730 3.585 1.933
5.038 5.016 3.993

***

7.
TbEr2Pd, relaxed, DFT PBE; ΔH_f (0 K) = -0.4310 eV/atom; spin magnetization = 0.0001 μB/atom; SG = P4/mmm, No. 123; volume = 106 Å³/cell; E above lowest polymorph = 52 meV per atom
1.0
3.551 0.000 0.000
0.000 3.551 0.000
0.000 0.000 8.373
Tb Pd Er
1 1 2
Cartesian
1.776 1.776 4.187
1.776 1.776 0.000
0.000 0.000 6.716
0.000 0.000 1.657

***

8.
TbEr2Pd, relaxed, DFT PBE; ΔH_f (0 K) = -0.4634 eV/atom; spin magnetization = 0.0000 μB/atom; SG = P2_1/m, No. 11; volume = 213 Å³/cell; E above lowest polymorph = 20 meV per atom
1.0
-3.665 0.394 -0.624
0.765 -5.481 3.274
-0.857 4.633 7.956
Er Tb Pd
4 2 2
Cartesian
-1.582 0.504 9.639
-2.501 0.804 3.992
-2.175 -0.958 0.967
-1.256 -1.258 6.613
-2.983 -3.284 4.278
-0.775 2.830 6.328
-3.031 0.913 7.201
-0.726 -1.367 3.404

***

Calculated DOS(E_F) (states/eV/atom), listed in the same order as above: 0.757 1.075 0.474 0.633 1.092 1.477 1.148 1.202